A plane-wave DFT calculation with PBE was carried out for a relaxed La2MgAuN crystal.

Values from the calculation:
* ρ: 7.546 g/cm3
* uncorrected formation energy: -0.802 eV/atom
* magnetization: 0.000 μB per atom

a b c (Å): 5.160 5.160 4.241
angles (deg): 90.00 90.00 90.00
Fractional positions:
La 0.000 0.500 0.000
La 0.500 0.000 0.000
Mg 0.000 0.000 0.500
Au 0.500 0.500 0.500
N 0.000 0.000 0.000